1.
{
  "formula": "CeTh2PbC",
  "functional": "PBE-GGA",
  "state": "optimized geometry",
  "lattice_angstrom": [[5.030, 0.000, 0.000], [0.000, 5.085, 0.000], [0.000, 0.000, 5.085]],
  "species": ["Ce", "Th", "Th", "Pb", "C"],
  "fractional_positions": [[0.500, 0.000, 0.000], [0.000, 0.000, 0.500], [0.000, 0.500, 0.000], [0.500, 0.500, 0.500], [0.000, 0.000, 0.000]],
  "formation_enthalpy_0k_ev_per_atom": -0.33
}

2.
{
  "formula": "Ce3PdC",
  "functional": "PBE-GGA",
  "state": "optimized geometry",
  "lattice_angstrom": [[5.161, 0.000, 0.000], [-2.580, 5.293, -2.014], [0.000, 0.180, 7.786]],
  "species": ["Ce", "Ce", "Ce", "Ce", "Ce", "Ce", "Pd", "Pd", "C", "C"],
  "fractional_positions": [[0.108, 0.216, 0.218], [0.892, 0.784, 0.782], [0.365, 0.730, 0.079], [0.635, 0.270, 0.921], [0.141, 0.282, 0.616], [0.859, 0.718, 0.384], [0.593, 0.187, 0.413], [0.407, 0.813, 0.587], [0.872, 0.744, 0.081], [0.128, 0.256, 0.919]],
  "formation_enthalpy_0k_ev_per_atom": -0.32
}

3.
{
  "formula": "Ce2PdC",
  "functional": "PBE-GGA",
  "state": "optimized geometry",
  "lattice_angstrom": [[3.373, 0.000, 0.000], [1.686, 2.921, 0.000], [1.686, 0.974, 8.369]],
  "species": ["C", "Pd", "Ce", "Ce"],
  "fractional_positions": [[0.500, 0.500, 0.500], [0.000, 0.000, 0.000], [0.108, 0.108, 0.677], [0.892, 0.892, 0.323]],
  "formation_enthalpy_0k_ev_per_atom": -0.13,
  "relative_energy_kj_per_mol_atoms": 20.1
}

4.
{
  "formula": "Ce2PdC",
  "functional": "PBE-GGA",
  "state": "optimized geometry",
  "lattice_angstrom": [[-2.126, 1.231, -2.125], [-2.309, -0.042, 2.285], [1.792, 6.427, 1.929]],
  "species": ["C", "Pd", "Ce", "Ce"],
  "fractional_positions": [[0.500, 0.500, 0.000], [0.500, 0.500, 0.500], [0.000, 0.000, 0.803], [0.000, 0.000, 0.197]],
  "formation_enthalpy_0k_ev_per_atom": -0.24,
  "relative_energy_kj_per_mol_atoms": 9.2
}

5.
{
  "formula": "Ce4Pd2C",
  "functional": "PBE-GGA",
  "state": "optimized geometry",
  "lattice_angstrom": [[4.884, 0.000, 0.000], [0.000, 4.884, 0.000], [2.442, 2.442, 7.185]],
  "species": ["C", "Pd", "Pd", "Ce", "Ce", "Ce", "Ce"],
  "fractional_positions": [[0.000, 0.000, 0.000], [0.637, 0.637, 0.725], [0.363, 0.363, 0.275], [0.823, 0.823, 0.354], [0.177, 0.177, 0.646], [0.000, 0.500, 0.000], [0.500, 0.000, 0.000]],
  "formation_enthalpy_0k_ev_per_atom": -0.32
}

6.
{
  "formula": "Ce2PdC",
  "functional": "PBE-GGA",
  "state": "optimized geometry",
  "lattice_angstrom": [[-2.002, -1.043, -2.773], [1.426, -0.157, -3.276], [1.779, -7.347, -0.826]],
  "species": ["Ce", "Ce", "Pd", "C"],
  "fractional_positions": [[0.066, 0.066, 0.802], [0.268, 0.268, 0.197], [0.499, 0.499, 0.504], [0.668, 0.668, 0.997]],
  "formation_enthalpy_0k_ev_per_atom": -0.33,
  "relative_energy_kj_per_mol_atoms": 0.0
}

7.
{
  "formula": "CeSiPdC",
  "functional": "PBE-GGA",
  "state": "optimized geometry",
  "lattice_angstrom": [[-1.697, 3.499, 0.030], [-2.325, -1.103, -2.916], [-5.866, -2.895, 5.772]],
  "species": ["Ce", "Ce", "Si", "Si", "Pd", "Pd", "C", "C"],
  "fractional_positions": [[0.000, 0.500, 0.850], [0.500, 0.000, 0.150], [0.000, 0.500, 0.331], [0.500, 0.000, 0.669], [0.000, 0.000, 0.500], [0.500, 0.500, 0.500], [0.500, 0.000, 0.878], [0.000, 0.500, 0.122]],
  "raw_formation_energy_mev_per_atom": -582
}

8.
{
  "formula": "Ce2Pm2C3",
  "functional": "PBE-GGA",
  "state": "optimized geometry",
  "lattice_angstrom": [[3.685, 0.000, 0.000], [0.000, 6.168, -0.598], [-1.843, -2.579, 6.451]],
  "species": ["Ce", "Ce", "Pm", "Pm", "C", "C", "C"],
  "fractional_positions": [[0.869, 0.686, 0.738], [0.131, 0.314, 0.262], [0.631, 0.782, 0.261], [0.369, 0.218, 0.739], [0.000, 0.500, 0.000], [0.265, 0.739, 0.531], [0.735, 0.261, 0.469]],
  "formation_enthalpy_0k_ev_per_atom": -0.09
}

9.
{
  "formula": "CePmC",
  "functional": "PBE-GGA",
  "state": "optimized geometry",
  "lattice_angstrom": [[6.524, 0.000, 0.000], [0.000, 3.594, 0.000], [0.000, -1.797, 3.113]],
  "species": ["C", "Ce", "Pm"],
  "fractional_positions": [[0.323, 0.333, 0.667], [0.122, 0.000, 0.000], [0.555, 0.667, 0.333]],
  "formation_enthalpy_0k_ev_per_atom": -0.13,
  "relative_energy_kj_per_mol_atoms": 0.2
}

10.
{
  "formula": "Ce2PmC",
  "functional": "PBE-GGA",
  "state": "optimized geometry",
  "lattice_angstrom": [[-0.543, -3.495, -0.240], [2.390, -2.260, 1.323], [-3.848, -1.794, 8.638]],
  "species": ["C", "Ce", "Ce", "Pm"],
  "fractional_positions": [[0.500, 0.500, 0.500], [0.782, 0.782, 0.653], [0.218, 0.218, 0.347], [0.000, 0.000, 0.000]],
  "formation_enthalpy_0k_ev_per_atom": -0.04,
  "relative_energy_kj_per_mol_atoms": 2.3
}

11.
{
  "formula": "Ce3PmC8",
  "functional": "PBE-GGA",
  "state": "optimized geometry",
  "lattice_angstrom": [[-1.427, 2.612, 5.627], [-3.277, -5.264, -1.312], [1.223, -4.864, 3.920]],
  "species": ["Ce", "Ce", "Ce", "Pm", "C", "C", "C", "C", "C", "C", "C", "C"],
  "fractional_positions": [[0.754, 0.500, 0.746], [0.254, 0.500, 0.246], [0.500, 0.000, 0.500], [0.000, 0.000, 0.000], [0.086, 0.000, 0.585], [0.583, 0.671, 0.417], [0.913, 0.329, 0.087], [0.415, 0.000, 0.914], [0.875, 0.000, 0.620], [0.615, 0.491, 0.385], [0.124, 0.509, 0.876], [0.380, 0.000, 0.125]],
  "formation_enthalpy_0k_ev_per_atom": 0.12
}

12.
{
  "formula": "CePmC",
  "functional": "PBE-GGA",
  "state": "optimized geometry",
  "lattice_angstrom": [[-2.527, 1.618, 1.888], [-2.142, -0.468, -2.466], [-0.482, -4.903, 3.558]],
  "species": ["Ce", "Pm", "C"],
  "fractional_positions": [[0.012, 0.356, 0.712], [0.512, 0.121, 0.243], [0.512, 0.792, 0.584]],
  "formation_enthalpy_0k_ev_per_atom": 0.09,
  "relative_energy_kj_per_mol_atoms": 21.5
}

13.
{
  "formula": "Ce3PmC",
  "functional": "PBE-GGA",
  "state": "optimized geometry",
  "lattice_angstrom": [[-3.375, -1.029, -3.591], [-1.013, -4.407, 2.215], [-3.596, 2.207, 2.747]],
  "species": ["C", "Ce", "Ce", "Ce", "Pm"],
  "fractional_positions": [[0.000, 0.000, 0.000], [0.000, 0.500, 0.000], [0.000, 0.000, 0.500], [0.500, 0.000, 0.000], [0.500, 0.500, 0.500]],
  "formation_enthalpy_0k_ev_per_atom": 0.00
}

14.
{
  "formula": "CePmC",
  "functional": "PBE-GGA",
  "state": "optimized geometry",
  "lattice_angstrom": [[3.497, 0.000, 0.867], [1.652, 3.094, 0.822], [0.158, 0.213, 6.848]],
  "species": ["Ce", "Pm", "C"],
  "fractional_positions": [[0.672, 0.798, 0.858], [0.148, 0.279, 0.426], [0.405, 0.534, 0.656]],
  "formation_enthalpy_0k_ev_per_atom": -0.13,
  "relative_energy_kj_per_mol_atoms": 0.0
}

15.
{
  "formula": "CePmC",
  "functional": "PBE-GGA",
  "state": "optimized geometry",
  "lattice_angstrom": [[-0.777, 4.338, 0.205], [-2.907, 1.853, -2.753], [-3.862, 1.479, 1.538]],
  "species": ["C", "Ce", "Pm"],
  "fractional_positions": [[0.250, 0.250, 0.250], [0.000, 0.000, 0.000], [0.500, 0.500, 0.500]],
  "formation_enthalpy_0k_ev_per_atom": 0.18,
  "relative_energy_kj_per_mol_atoms": 30.5
}

16.
{
  "formula": "CePmC2",
  "functional": "PBE-GGA",
  "state": "optimized geometry",
  "lattice_angstrom": [[4.190, 0.000, 0.000], [0.000, 4.437, 0.144], [0.000, -0.909, 4.345]],
  "species": ["Ce", "Pm", "C", "C"],
  "fractional_positions": [[0.500, 0.388, 0.612], [0.000, 0.923, 0.077], [0.500, 0.859, 0.390], [0.500, 0.610, 0.141]],
  "formation_enthalpy_0k_ev_per_atom": 0.04,
  "relative_energy_kj_per_mol_atoms": 0.0
}

17.
{
  "formula": "CePm2C2",
  "functional": "PBE-GGA",
  "state": "optimized geometry",
  "lattice_angstrom": [[-2.917, -1.857, 1.158], [3.187, -3.705, 2.086], [-0.014, 5.602, 3.205]],
  "species": ["Ce", "Pm", "Pm", "C", "C"],
  "fractional_positions": [[0.000, 0.000, 0.000], [0.680, 0.680, 0.360], [0.320, 0.320, 0.640], [0.342, 0.842, 0.685], [0.658, 0.158, 0.315]],
  "formation_enthalpy_0k_ev_per_atom": -0.07
}

18.
{
  "formula": "CePm3C2",
  "functional": "PBE-GGA",
  "state": "optimized geometry",
  "lattice_angstrom": [[-0.076, 3.285, 1.550], [-8.483, 1.835, -0.047], [-0.539, -2.522, 9.575]],
  "species": ["Ce", "Ce", "Pm", "Pm", "Pm", "Pm", "Pm", "Pm", "C", "C", "C", "C"],
  "fractional_positions": [[0.445, 0.408, 0.702], [0.555, 0.592, 0.298], [0.059, 0.080, 0.803], [0.941, 0.920, 0.197], [0.695, 0.663, 0.947], [0.305, 0.337, 0.053], [0.810, 0.833, 0.547], [0.190, 0.167, 0.453], [0.879, 0.374, 0.869], [0.121, 0.626, 0.131], [0.622, 0.126, 0.629], [0.378, 0.874, 0.371]],
  "formation_enthalpy_0k_ev_per_atom": -0.14
}

19.
{
  "formula": "CePmC2",
  "functional": "PBE-GGA",
  "state": "optimized geometry",
  "lattice_angstrom": [[3.691, 0.000, 0.000], [1.845, 3.196, 0.000], [1.845, 1.065, 6.006]],
  "species": ["C", "C", "Ce", "Pm"],
  "fractional_positions": [[0.256, 0.256, 0.232], [0.744, 0.744, 0.768], [0.000, 0.000, 0.000], [0.500, 0.500, 0.500]],
  "formation_enthalpy_0k_ev_per_atom": 0.07,
  "relative_energy_kj_per_mol_atoms": 2.8
}

20.
{
  "formula": "CePmC",
  "functional": "PBE-GGA",
  "state": "optimized geometry",
  "lattice_angstrom": [[3.624, 0.000, 0.000], [-1.812, 3.139, 0.000], [0.000, 0.000, 12.548]],
  "species": ["C", "C", "Pm", "Pm", "Ce", "Ce"],
  "fractional_positions": [[0.612, 0.224, 0.000], [0.277, 0.554, 0.500], [0.610, 0.221, 0.383], [0.610, 0.221, 0.617], [0.278, 0.557, 0.888], [0.278, 0.557, 0.112]],
  "formation_enthalpy_0k_ev_per_atom": 0.13,
  "relative_energy_kj_per_mol_atoms": 24.9
}

| no. | Fermi-level density of states (states/eV per cell) |
| --- | --- |
| 1 | 7.322 |
| 2 | 19.306 |
| 3 | 6.065 |
| 4 | 6.977 |
| 5 | 20.039 |
| 6 | 6.180 |
| 7 | 7.024 |
| 8 | 6.144 |
| 9 | 4.863 |
| 10 | 8.519 |
| 11 | 11.057 |
| 12 | 3.748 |
| 13 | 9.935 |
| 14 | 5.050 |
| 15 | 3.664 |
| 16 | 3.671 |
| 17 | 4.813 |
| 18 | 14.351 |
| 19 | 6.433 |
| 20 | 10.970 |